Record 1
Ce5BiSb3 after structural relaxation, computed with PBE-GGA.

## Properties
Formation energy without anion corrections   -0.619 eV per atom
Calculated volume   31.2 A^3/atom
Crystal system   tetragonal

a = 10.0898 Å, b = 10.0898 Å, c = 10.0898 Å
α = 131.70°, β = 131.70°, γ = 70.71°
With the nearest neighbours (Å) after each atom.
Element x y z (fractional)
Ce 0.0000 0.0000 0.0000  4 Sb 3.27
Ce 0.0671 0.5671 0.9063  1 Sb 3.02, 1 Bi 3.02
Ce 0.1608 0.0671 0.5000  1 Sb 3.02, 1 Bi 3.02
Ce 0.3392 0.8392 0.9063  1 Sb 3.02, 1 Bi 3.02
Ce 0.4329 0.3392 0.5000  1 Sb 3.02, 1 Bi 3.02
Ce 0.5000 0.5000 0.0000  4 Sb 3.27
Ce 0.5671 0.6608 0.5000  1 Sb 3.02, 1 Bi 3.02
Ce 0.6608 0.1608 0.0937  1 Sb 3.02, 1 Bi 3.02
Ce 0.8392 0.9329 0.5000  1 Sb 3.02, 1 Bi 3.02
Ce 0.9329 0.4329 0.0937  1 Sb 3.02, 1 Bi 3.02
Bi 0.2500 0.7500 0.5000  4 Ce 3.02
Bi 0.7500 0.2500 0.5000  4 Ce 3.02
Sb 0.1233 0.3767 0.5000  1 Sb 2.88, 2 Ce 3.02
Sb 0.2500 0.2500 0.0000  8 Ce 3.51
Sb 0.3767 0.8767 0.2534  1 Sb 2.88, 2 Ce 3.02
Sb 0.6233 0.1233 0.7466  1 Sb 2.88, 2 Ce 3.02
Sb 0.7500 0.7500 0.0000  8 Ce 3.51
Sb 0.8767 0.6233 0.5000  1 Sb 2.88, 2 Ce 3.02

---

Record 2
Li4SmY3Te8 after structural relaxation, computed with PBE-GGA.

## Properties
Formation energy without anion corrections   -1.304 eV per atom
Calculated volume   29.2 A^3/atom
Crystal system   trigonal

a = 8.6855 Å, b = 8.6855 Å, c = 8.6855 Å
α = 60.32°, β = 60.32°, γ = 60.32°
With the nearest neighbours (Å) after each atom.
Element x y z (fractional)
Li 0.0000 0.0000 0.0000  6 Te 3.03
Li 0.0000 0.5000 0.5000  6 Te 3.06
Li 0.5000 0.0000 0.5000  6 Te 3.06
Li 0.5000 0.5000 0.0000  6 Te 3.06
Sm 0.5000 0.5000 0.5000  6 Te 3.13
Y 0.0000 0.0000 0.5000  6 Te 3.10
Y 0.0000 0.5000 0.0000  6 Te 3.10
Y 0.5000 0.0000 0.0000  6 Te 3.10
Te 0.2457 0.2457 0.7515  3 Li 3.03-3.06, 2 Y 3.10, 1 Sm 3.13
Te 0.2457 0.7515 0.2457  3 Li 3.03-3.06, 2 Y 3.10, 1 Sm 3.13
Te 0.2485 0.7543 0.7543  3 Li 3.03-3.06, 2 Y 3.10, 1 Sm 3.13
Te 0.2516 0.2516 0.2516  3 Li 3.06, 3 Y 3.10
Te 0.7484 0.7484 0.7484  3 Li 3.06, 3 Y 3.10
Te 0.7515 0.2457 0.2457  3 Li 3.03-3.06, 2 Y 3.10, 1 Sm 3.13
Te 0.7543 0.2485 0.7543  3 Li 3.03-3.06, 2 Y 3.10, 1 Sm 3.13
Te 0.7543 0.7543 0.2485  3 Li 3.03-3.06, 2 Y 3.10, 1 Sm 3.13

---

Record 3
Ca3GaTc after structural relaxation, computed with PBE-GGA.

## Properties
Calculated volume   35.4 A^3/atom
Crystal system   cubic
Total energy   -15.5 eV per cell

a = 5.6171 Å, b = 5.6171 Å, c = 5.6171 Å
α = 90.00°, β = 90.00°, γ = 90.00°
With the nearest neighbours (Å) after each atom.
Element x y z (fractional)
Ca 0.0000 0.0000 0.5000  2 Ga 2.81
Ca 0.0000 0.5000 0.0000  2 Ga 2.81
Ca 0.5000 0.0000 0.0000  2 Ga 2.81
Ga 0.0000 0.0000 0.0000  6 Ca 2.81
Tc 0.5000 0.5000 0.5000  12 Ca 3.97

---

What is the formula in the first record? Ce5BiSb3